No. 1
Li4YCd8 PBE optimized geometry; symmetry = I4/mmm; total magnetization = 0.0 μB/cell; formation enthalpy at 0 K = -297 kJ/mol of formula units
1.0
-4.978 4.978 2.640
4.978 -4.978 2.640
4.978 4.978 -2.640
Li Y Cd
4 1 8
Cartesian
2.489 2.489 -1.320
2.489 -2.489 1.320
-2.489 2.489 1.320
2.489 2.489 1.320
0.000 0.000 0.000
3.466 0.000 0.000
6.489 0.000 0.000
4.978 2.870 0.000
0.000 3.466 0.000
2.870 4.978 0.000
2.107 0.000 2.640
0.000 6.489 0.000
0.000 2.107 2.640

=====

No. 2
Pr2HgSb3Rh4 PBE optimized geometry; symmetry = P-4m2; total magnetization = 0.0 μB/cell; E_form (uncorrected) = -0.70 eV per atom
1.0
4.470 0.000 0.000
0.000 4.470 0.000
0.000 0.000 10.893
Pr Hg Sb Rh
2 1 3 4
Cartesian
0.000 2.235 2.707
2.235 0.000 8.186
2.235 2.235 0.000
0.000 0.000 0.000
0.000 2.235 6.864
2.235 0.000 4.029
0.000 0.000 5.447
0.000 2.235 9.395
2.235 0.000 1.499
2.235 2.235 5.447

=====

No. 3
CsAs2Se2 PBE optimized geometry; symmetry = P4/mbm; total magnetization = 0.0 μB/cell; ΔE to the lowest computed polymorph = 204.6 meV per atom; E_form (uncorrected) = -0.21 eV per atom
1.0
9.431 0.000 0.000
0.000 9.431 0.000
0.000 0.000 3.650
Cs As Se
2 4 4
Cartesian
0.000 0.000 0.000
4.715 4.715 0.000
1.237 3.479 0.000
3.479 8.194 0.000
5.952 1.237 0.000
8.194 5.952 0.000
2.304 7.020 1.825
2.411 2.304 1.825
7.020 7.126 1.825
7.126 2.411 1.825

=====

No. 4
Cs2TbNp2S7 PBE optimized geometry; symmetry = I4/mmm; total magnetization = 5.0 μB/cell; E_form (uncorrected) = -1.25 eV per atom
1.0
-2.572 2.572 13.733
2.572 -2.572 13.733
2.572 2.572 -13.733
Cs Tb Np S
2 1 2 7
Cartesian
0.000 0.000 5.139
0.000 0.000 22.328
0.000 0.000 0.000
0.000 0.000 11.263
0.000 0.000 16.203
2.572 0.000 1.841
0.000 0.000 8.758
2.572 0.000 11.892
0.000 0.000 13.733
0.000 2.572 1.841
0.000 0.000 18.709
0.000 2.572 11.892

=====

No. 5
Zr2ReSn PBE optimized geometry; symmetry = P4/mmm; total magnetization = 0.0 μB/cell; formation enthalpy at 0 K = -113 kJ/mol of formula units
1.0
3.265 0.000 0.000
0.000 3.265 0.000
0.000 0.000 7.860
Zr Re Sn
2 1 1
Cartesian
0.000 0.000 1.622
0.000 0.000 6.238
1.633 1.633 0.000
1.633 1.633 3.930

=====

No. 6
BaAg4Au8 PBE optimized geometry; symmetry = I4/mmm; total magnetization = 0.0 μB/cell; formation enthalpy at 0 K = -208 kJ/mol of formula units
1.0
-4.806 4.806 2.854
4.806 -4.806 2.854
4.806 4.806 -2.854
Ba Ag Au
1 4 8
Cartesian
0.000 0.000 0.000
2.403 2.403 -1.427
2.403 -2.403 1.427
-2.403 2.403 1.427
2.403 2.403 1.427
3.381 0.000 0.000
6.232 0.000 0.000
4.806 2.671 0.000
0.000 3.381 0.000
2.671 4.806 0.000
2.136 0.000 2.854
0.000 6.232 0.000
0.000 2.136 2.854

=====

No. 7
NaCuAsO4 PBE optimized geometry; symmetry = P2_1/c; total magnetization = 8.0 μB/cell; ΔE to the lowest computed polymorph = 0.0 meV per atom; E_form (uncorrected) = -1.20 eV per atom
1.0
6.178 0.000 0.000
0.000 10.961 0.000
-0.375 0.000 10.511
Na Cu As O
8 8 8 32
Cartesian
0.626 1.662 4.021
0.438 3.818 9.277
2.267 6.857 1.186
2.079 9.584 6.442
3.724 1.376 4.069
3.536 4.104 9.325
5.365 7.142 1.234
5.177 9.299 6.490
0.824 6.790 5.393
1.012 9.651 0.138
1.815 1.144 8.280
2.003 4.336 3.024
3.800 6.624 7.487
3.988 9.816 2.231
4.791 1.310 10.373
4.979 4.171 5.118
0.466 6.800 8.674
0.654 9.641 3.418
2.299 1.465 0.998
2.111 4.016 6.254
3.692 6.945 4.257
3.504 9.496 9.513
5.149 1.320 7.093
5.337 4.161 1.837
0.318 7.851 10.044
0.505 8.590 4.789
0.445 0.374 7.041
0.633 5.106 1.786
0.557 7.696 7.200
0.745 8.745 1.944
0.910 0.440 0.942
0.722 5.040 6.197
1.808 5.789 8.979
1.996 10.652 3.723
2.094 2.517 2.326
1.906 2.964 7.582
2.181 6.087 3.949
1.994 10.354 9.205
2.148 2.244 9.993
2.335 3.236 4.737
3.468 7.725 5.774
3.655 8.716 0.518
3.809 0.606 1.306
3.622 4.874 6.562
3.897 7.997 2.929
3.709 8.444 8.185
3.807 0.309 6.788
3.995 5.172 1.532
5.081 5.921 4.314
4.893 10.520 9.569
5.058 2.216 8.567
5.246 3.264 3.311
5.170 5.855 8.725
5.358 10.586 3.470
5.298 2.371 5.722
5.485 3.109 0.467

=====

No. 8
CeSnBi PBE optimized geometry; symmetry = I4mm; total magnetization = 1.5 μB/cell; ΔE to the lowest computed polymorph = 243.7 meV per atom; formation enthalpy at 0 K = -102 kJ/mol of formula units
1.0
-2.025 2.025 5.340
2.025 -2.025 5.340
2.025 2.025 -5.340
Ce Sn Bi
1 1 1
Cartesian
0.000 0.000 0.000
0.000 0.000 3.454
0.000 0.000 7.216

=====

No. 9
SnP3 PBE optimized geometry; symmetry = R-3m; total magnetization = 0.0 μB/cell; ΔE to the lowest computed polymorph = 0.0 meV per atom; formation enthalpy at 0 K = -4 kJ/mol of formula units
1.0
3.736 2.157 3.592
-3.736 2.157 3.592
0.000 -4.314 3.592
Sn P
2 6
Cartesian
0.000 0.000 2.620
0.000 0.000 8.155
-1.697 -0.980 5.915
0.000 -1.959 4.860
-1.697 0.980 4.860
1.697 -0.980 5.915
0.000 1.959 5.915
1.697 0.980 4.860

=====

No. 10
PrZnNi4Ge2 PBE optimized geometry; symmetry = R-3m; total magnetization = 0.0 μB/cell; formation enthalpy at 0 K = -293 kJ/mol of formula units
1.0
2.029 1.171 8.517
-2.029 1.171 8.517
0.000 -2.342 8.517
Pr Zn Ni Ge
1 1 4 2
Cartesian
0.000 0.000 0.000
0.000 0.000 12.776
0.000 0.000 3.422
0.000 0.000 10.426
0.000 0.000 15.125
0.000 0.000 22.129
0.000 0.000 6.163
0.000 0.000 19.388

=====

No. 11
AcLa2Ho3 PBE optimized geometry; symmetry = P-3m1; total magnetization = 0.0 μB/cell; formation enthalpy at 0 K = 145 kJ/mol of formula units
1.0
7.128 0.000 0.000
-3.564 6.173 0.000
0.000 0.000 9.915
Ac La Ho
2 4 6
Cartesian
0.000 4.115 4.418
3.564 2.058 5.497
0.000 0.000 0.000
0.000 0.000 4.958
0.000 4.115 0.906
3.564 2.058 9.009
0.000 2.265 7.638
-1.602 5.041 7.638
1.962 1.133 2.277
1.602 5.041 7.638
5.166 1.133 2.277
3.564 3.908 2.277

=====

No. 12
Ca2Mg2Cu PBE optimized geometry; symmetry = Cmc2_1; total magnetization = 0.0 μB/cell; ΔE to the lowest computed polymorph = 79.2 meV per atom; formation enthalpy at 0 K = -3 kJ/mol of formula units
1.0
2.666 -7.745 0.000
2.666 7.745 0.000
0.000 0.000 6.363
Ca Mg Cu
4 4 2
Cartesian
2.666 6.602 3.181
2.666 2.795 2.014
2.666 -2.795 5.195
2.666 -6.602 0.000
2.666 3.274 5.153
2.666 0.494 4.290
2.666 -0.494 1.109
2.666 -3.274 1.972
2.666 5.556 0.366
2.666 -5.556 3.548